La2PrSm2Cd5 | GGA-PBE | optimized geometry

Structure (extended XYZ):
```
20
Lattice="4.9419 0.0000 0.0000 0.0000 10.8255 0.0000 0.0000 0.0000 10.8255" Properties=species:S:1:pos:R:3 pbc="T T T"
La 0.0000 8.9173 7.3209
La 0.0000 7.3209 1.9081
La 0.0000 1.9081 3.5046
La 0.0000 3.5046 8.9173
Cd 2.4709 3.2959 6.1709
Cd 2.4709 10.0673 2.1169
Cd 2.4709 0.0000 5.4127
Cd 2.4709 7.5296 4.6545
Cd 2.4709 0.7582 8.7086
Cd 2.4709 4.6545 3.2959
Cd 2.4709 2.1169 0.7582
Cd 2.4709 6.1709 7.5296
Cd 2.4709 8.7086 10.0673
Cd 2.4709 5.4127 0.0000
Sm 0.0000 6.7480 9.4902
Sm 0.0000 1.3353 6.7480
Sm 0.0000 4.0774 1.3353
Sm 0.0000 9.4902 4.0774
Pr 0.0000 5.4127 5.4127
Pr 0.0000 0.0000 0.0000
```

Crystal system: tetragonal
Total energy: -61.44 eV for the cell shown
Formation enthalpy at 0 K: -200.1 kJ/mol of formula units
Total magnetic moment: 0.00 μB per formula unit
Space group: P4/mbm, No. 127